Here is crystalline Ce2CuPt3 at its relaxed geometry from the Alexandria database. Energies are from PBE.

The space group is R-3m (No. 166, hexagonal axes) and the conventional cell measures 5.5728, 5.5728 and 12.6533 Å, with angles of 90.00, 90.00 and 120.00 degrees. The distinct sites, in fractional coordinates, are Ce at (0.0000, 0.0000, 0.1221), Cu at (0.0000, 0.0000, 0.5000) and Pt at (0.0000, 0.5000, 0.0000).

The value obtained for the total DFT energy (no corrections) is -0.4802 Ry per atom. The calculation puts the formation energy from the elements at -0.853 eV per atom.

Here is crystalline NdGe2Ru2C at its relaxed geometry from the Alexandria database. Energies are from PBE.

The space group is P4/mmm (No. 123) and the conventional cell measures 4.1257, 4.1257 and 5.6414 Å, with angles of 90.00, 90.00 and 90.00 degrees. The distinct sites, in fractional coordinates, are Nd at (0.0000, 0.0000, 0.0000), Ge at (0.5000, 0.5000, 0.2161), Ru at (0.0000, 0.5000, 0.5000) and C at (0.0000, 0.0000, 0.5000).

The value obtained for the total DFT energy (no corrections) is -0.5342 Ry per atom. The calculation puts the formation energy from the elements at -0.305 eV per atom.

Here is crystalline BeAlH2 at its relaxed geometry from the Alexandria database. Energies are from PBE.

The space group is C2 (No. 5) and the conventional cell measures 7.8479, 4.3220 and 4.9679 Å, with angles of 90.00, 98.62 and 90.00 degrees. The distinct sites, in fractional coordinates, are Be at (0.0000, 0.0000, 0.0000), Be at (0.0000, 0.1909, 0.5000), Al at (0.1589, 0.7035, 0.4232), H at (0.0449, 0.2257, 0.8098) and H at (0.1419, 0.7794, 0.0820).

The value obtained for the total DFT energy (no corrections) is -0.2509 Ry per atom. The energy above the most stable polymorph in this dataset is 0.0 meV per atom.